# 1
# Dy2BeAg

Crystalline Dy2BeAg at its relaxed geometry (PBE, Alexandria).

Unit cell a=7.0876 b=7.0876 c=7.0876 alpha=90.00 beta=90.00 gamma=90.00
Space group Fm-3m (No. 225)
Unique sites:
Dy  0.2500  0.2500  0.2500 (multiplicity 8)
Be  0.0000  0.0000  0.0000 (multiplicity 4)
Ag  0.0000  0.0000  0.5000 (multiplicity 4)

Properties
The value obtained for the distance to the lowest polymorph of the same formula is 0.0509 eV/atom. The energy relative to the elements comes out at -0.0631 eV per atom.

# 2
# Dy2BeAg

Crystalline Dy2BeAg at its relaxed geometry (PBE, Alexandria).

Unit cell a=3.4862 b=3.4862 c=7.1709 alpha=90.00 beta=90.00 gamma=90.00
Space group P4/mmm (No. 123)
Unique sites:
Dy  0.0000  0.0000  0.2280 (multiplicity 2)
Be  0.5000  0.5000  0.0000 (multiplicity 1)
Ag  0.5000  0.5000  0.5000 (multiplicity 1)

Properties
The value obtained for the distance to the lowest polymorph of the same formula is 0.0000 eV/atom. The energy relative to the elements comes out at -0.1140 eV per atom.

# 3
# DyBeAg3

Crystalline DyBeAg3 at its relaxed geometry (PBE, Alexandria).

Unit cell a=4.5706 b=4.5706 c=4.5706 alpha=90.00 beta=90.00 gamma=90.00
Space group Pm-3m (No. 221)
Unique sites:
Dy  0.0000  0.0000  0.0000 (multiplicity 1)
Be  0.5000  0.5000  0.5000 (multiplicity 1)
Ag  0.0000  0.5000  0.5000 (multiplicity 3)

Properties
The energy relative to the elements comes out at -0.0009 eV per atom.

# 4
# DyErBeAg

Crystalline DyErBeAg at its relaxed geometry (PBE, Alexandria).

Unit cell a=7.0542 b=7.0542 c=7.0542 alpha=90.00 beta=90.00 gamma=90.00
Space group F-43m (No. 216)
Unique sites:
Dy  0.0000  0.0000  0.0000 (multiplicity 4)
Er  0.0000  0.0000  0.5000 (multiplicity 4)
Be  0.2500  0.2500  0.2500 (multiplicity 4)
Ag  0.2500  0.2500  0.7500 (multiplicity 4)

Properties
The energy relative to the elements comes out at -0.0709 eV per atom.

# 5
# GdDyBeAg

Crystalline GdDyBeAg at its relaxed geometry (PBE, Alexandria).

Unit cell a=7.1320 b=7.1320 c=7.1320 alpha=90.00 beta=90.00 gamma=90.00
Space group F-43m (No. 216)
Unique sites:
Gd  0.0000  0.0000  0.0000 (multiplicity 4)
Dy  0.0000  0.0000  0.5000 (multiplicity 4)
Be  0.2500  0.2500  0.7500 (multiplicity 4)
Ag  0.2500  0.2500  0.2500 (multiplicity 4)

Properties
The energy relative to the elements comes out at -0.0476 eV per atom.

# 6
# DyHoBeAg

Crystalline DyHoBeAg at its relaxed geometry (PBE, Alexandria).

Unit cell a=7.0706 b=7.0706 c=7.0706 alpha=90.00 beta=90.00 gamma=90.00
Space group F-43m (No. 216)
Unique sites:
Dy  0.0000  0.0000  0.0000 (multiplicity 4)
Ho  0.0000  0.0000  0.5000 (multiplicity 4)
Be  0.2500  0.2500  0.2500 (multiplicity 4)
Ag  0.2500  0.2500  0.7500 (multiplicity 4)

Properties
The energy relative to the elements comes out at -0.0672 eV per atom.

# 7
# DyMgBeAg

Crystalline DyMgBeAg at its relaxed geometry (PBE, Alexandria).

Unit cell a=6.7741 b=6.7741 c=6.7741 alpha=90.00 beta=90.00 gamma=90.00
Space group F-43m (No. 216)
Unique sites:
Dy  0.0000  0.0000  0.0000 (multiplicity 4)
Mg  0.0000  0.0000  0.5000 (multiplicity 4)
Be  0.2500  0.2500  0.7500 (multiplicity 4)
Ag  0.2500  0.2500  0.2500 (multiplicity 4)

Properties
The energy relative to the elements comes out at -0.0579 eV per atom.

# 8
# NdDyBeAg

Crystalline NdDyBeAg at its relaxed geometry (PBE, Alexandria).

Unit cell a=7.2175 b=7.2175 c=7.2175 alpha=90.00 beta=90.00 gamma=90.00
Space group F-43m (No. 216)
Unique sites:
Nd  0.0000  0.0000  0.0000 (multiplicity 4)
Dy  0.0000  0.0000  0.5000 (multiplicity 4)
Be  0.2500  0.2500  0.7500 (multiplicity 4)
Ag  0.2500  0.2500  0.2500 (multiplicity 4)

Properties
The energy relative to the elements comes out at -0.0169 eV per atom.